A relaxed structure of Er2GeRh3, computed with PBE.

a = 5.092 Å, b = 5.092 Å, c = 5.092 Å
α = 66.42°, β = 66.42°, γ = 66.42°
Sites, in units of the cell vectors:
Er  0.129  0.129  0.129
Er  0.871  0.871  0.871
Ge  0.500  0.500  0.500
Rh  0.000  0.500  0.500
Rh  0.500  0.000  0.500
Rh  0.500  0.500  0.000

Uncorrected energy ... -6.889 eV per atom
ρ ... 11.19 g/cm³
ΔH_f (0 K) ... -89.0 kJ/mol of atoms